[1]
First-principles (PBE-GGA) data for crystalline HgIrS2N at its relaxed geometry, as listed in Alexandria via LeMat-Bulk.

Output
Uncorrected formation energy in kcal/mol of atoms: 50.74
Relative energy among the computed polymorphs in eV/atom: 1.720
Energy in eV per atom: -2.948
N(E_F) in states/eV/f.u.: 8.0

a = 5.023 Å, b = 5.023 Å, c = 3.849 Å
α = 90.00°, β = 90.00°, γ = 90.00°
Space group P4/mmm (No. 123)
Unique sites:
1 Hg 0.000 0.000 0.000 (multiplicity 1)
2 Ir 0.500 0.500 0.500 (multiplicity 1)
3 S 0.000 0.500 0.000 (multiplicity 2)
4 N 0.000 0.000 0.500 (multiplicity 1)

=====

[2]
First-principles (PBE-GGA) data for crystalline HgIrSN2 at its relaxed geometry, as listed in Alexandria via LeMat-Bulk.

Output
Uncorrected formation energy in kcal/mol of atoms: 60.00
Relative energy among the computed polymorphs in eV/atom: 1.807
Energy in eV per atom: -3.386
N(E_F) in states/eV/f.u.: 5.6

a = 3.979 Å, b = 3.979 Å, c = 5.962 Å
α = 90.00°, β = 90.00°, γ = 90.00°
Space group P4/mmm (No. 123)
Unique sites:
1 Hg 0.000 0.000 0.000 (multiplicity 1)
2 Ir 0.500 0.500 0.500 (multiplicity 1)
3 S 0.000 0.000 0.500 (multiplicity 1)
4 N 0.000 0.500 0.000 (multiplicity 2)

=====

[3]
First-principles (PBE-GGA) data for crystalline HgIrSe2N at its relaxed geometry, as listed in Alexandria via LeMat-Bulk.

Output
Uncorrected formation energy in kcal/mol of atoms: 8.83
Relative energy among the computed polymorphs in eV/atom: 0.000
Energy in eV per atom: -4.508
N(E_F) in states/eV/f.u.: 3.6

a = 5.243 Å, b = 5.243 Å, c = 3.663 Å
α = 90.00°, β = 90.00°, γ = 90.00°
Space group P4/mmm (No. 123)
Unique sites:
1 Hg 0.000 0.000 0.000 (multiplicity 1)
2 Ir 0.500 0.500 0.500 (multiplicity 1)
3 Se 0.000 0.500 0.500 (multiplicity 2)
4 N 0.500 0.500 0.000 (multiplicity 1)